Here is Lu3U after structural relaxation from the Alexandria database. Energies are from PBE. Values from VASP.

Geometry as Quantum ESPRESSO input:
```
&SYSTEM
  ibrav = 0, nat = 8, ntyp = 2
/
ATOMIC_SPECIES
Lu 174.97 Lu.upf
U 238.03 U.upf
CELL_PARAMETERS angstrom
2.118 6.503 0.775
-2.690 -2.052 -5.994
-5.034 1.428 1.770
ATOMIC_POSITIONS crystal
Lu 0.169 0.338 0.250
Lu 0.662 0.831 0.250
Lu 0.169 0.831 0.250
Lu 0.831 0.662 0.750
Lu 0.338 0.169 0.750
Lu 0.831 0.169 0.750
U 0.333 0.667 0.750
U 0.667 0.333 0.250
```

energy relative to the elements = 0.390 eV/atom
size of the total moment = 5.6 μB/cell
electronic total energy = -46.6 eV for the cell shown